AcPrGeCl: optimized geometry, PBE.

POSCAR file:
```
AcPrGeCl
1.0
-1.5418 4.6064 2.2267
-4.2993 2.5642 -1.8696
-4.4739 0.1925 2.9157
Pr Ac Ge Cl
1 1 1 1
Direct
0.7500 0.7500 0.7500 Pr
0.2500 0.2500 0.2500 Ac
0.5000 0.5000 0.5000 Ge
0.0000 0.0000 0.0000 Cl
```

Formation energy from raw total energies (eV per atom): -1.08
Relative energy among the computed polymorphs (meV/atom): 0
Space-group type: F-43m, No. 216
Calculated total energy (eV/atom): -4.9143

CoMo3W: optimized geometry, PBE.

POSCAR file:
```
CoMo3W
1.0
4.4072 0.0000 0.0000
0.0000 4.4072 0.0000
0.0000 0.0000 4.4072
Mo Co W
3 1 1
Direct
0.0000 0.0000 0.5000 Mo
0.5000 0.0000 0.0000 Mo
0.0000 0.5000 0.0000 Mo
0.0000 0.0000 0.0000 Co
0.5000 0.5000 0.5000 W
```

Relative energy among the computed polymorphs (meV/atom): 0
Space-group type: Pm-3m, No. 221
Energy of formation from the pure elements (eV/f.u.): 6.56
Calculated total energy (eV/atom): -9.1983

Cs3SmAg2I9: optimized geometry, PBE.

POSCAR file:
```
Cs3SmAg2I9
1.0
8.5241 0.0000 0.0000
-4.2620 7.3821 0.0000
0.0000 0.0000 10.6043
I Cs Sm Ag
9 3 1 2
Direct
0.8302 0.1698 0.6678 I
0.3396 0.1698 0.6678 I
0.1698 0.3396 0.3322 I
0.1698 0.8302 0.3322 I
0.6604 0.8302 0.3322 I
0.5000 0.0000 0.0000 I
0.0000 0.5000 0.0000 I
0.8302 0.6604 0.6678 I
0.5000 0.5000 0.0000 I
0.6667 0.3333 0.3215 Cs
0.3333 0.6667 0.6785 Cs
0.0000 0.0000 0.0000 Cs
0.0000 0.0000 0.5000 Sm
0.6667 0.3333 0.8509 Ag
0.3333 0.6667 0.1491 Ag
```

Formation energy from raw total energies (eV per atom): -1.04
Space-group type: P-3m1, No. 164
Calculated total energy (eV/atom): -2.8357

NaTaPtRh2: optimized geometry, PBE.

POSCAR file:
```
NaTaPtRh2
1.0
-2.0864 -2.5911 2.8047
-2.1107 -2.1041 -3.5140
3.2569 -2.8760 -0.2342
Rh Na Pt Ta
2 1 1 1
Direct
0.0000 0.0000 0.5000 Rh
0.5000 0.0000 0.0000 Rh
0.0000 0.0000 0.0000 Na
0.5000 0.5000 0.5000 Pt
0.0000 0.5000 0.0000 Ta
```

Space-group type: P4/mmm, No. 123
Energy of formation from the pure elements (eV/f.u.): 8.47
Calculated total energy (eV/atom): -5.0898

InSbIrI2: optimized geometry, PBE.

POSCAR file:
```
InSbIrI2
1.0
5.8096 0.0000 0.0000
0.0000 5.8096 0.0000
0.0000 0.0000 4.9521
I Ir In Sb
2 1 1 1
Direct
0.5000 0.0000 0.0000 I
0.0000 0.5000 0.0000 I
0.0000 0.0000 0.0000 Ir
0.5000 0.5000 0.5000 In
0.0000 0.0000 0.5000 Sb
```

Formation energy from raw total energies (eV per atom): 0.20
Relative energy among the computed polymorphs (meV/atom): 0
Space-group type: P4/mmm, No. 123
Calculated total energy (eV/atom): -3.5638

BeC2: optimized geometry, PBE.

POSCAR file:
```
BeC2
1.0
-3.2797 2.6981 0.6804
-0.2429 -4.0692 1.3716
2.2268 1.4915 4.8193
Be C
4 8
Direct
0.3333 0.6667 0.4651 Be
0.3333 0.6667 0.0349 Be
0.6667 0.3333 0.5349 Be
0.6667 0.3333 0.9651 Be
0.7920 0.2080 0.2500 C
0.7920 0.5841 0.2500 C
0.0000 0.0000 0.0000 C
0.5841 0.7920 0.7500 C
0.0000 0.0000 0.5000 C
0.2080 0.4159 0.7500 C
0.2080 0.7920 0.7500 C
0.4159 0.2080 0.2500 C
```

Relative energy among the computed polymorphs (meV/atom): 1854
Space-group type: P6_3/mmc, No. 194
Energy of formation from the pure elements (eV/f.u.): 6.72
Calculated total energy (eV/atom): -5.1504

Sm3InBi2: optimized geometry, PBE.

POSCAR file:
```
Sm3InBi2
1.0
6.3991 0.0000 0.0000
0.0000 8.9190 0.0030
-3.1996 -2.2306 6.9373
Sm In Bi
6 2 4
Direct
0.1719 0.0859 0.3437 Sm
0.5006 0.2500 0.0000 Sm
0.8282 0.4141 0.6563 Sm
0.8281 0.9141 0.6563 Sm
0.1718 0.5859 0.3437 Sm
0.4994 0.7500 0.0000 Sm
0.0006 0.2500 0.0000 In
0.9994 0.7500 0.0000 In
0.3343 0.9173 0.6687 Bi
0.6657 0.0827 0.3313 Bi
0.3344 0.4173 0.6687 Bi
0.6656 0.5827 0.3313 Bi
```

Space-group type: C2/c, No. 15
Energy of formation from the pure elements (eV/f.u.): -3.89
Calculated total energy (eV/atom): -4.7572

AlFe2Pd2: optimized geometry, PBE.

POSCAR file:
```
AlFe2Pd2
1.0
-6.0077 -1.5740 1.0489
1.3793 -1.2555 6.0159
-0.7630 3.5182 0.9092
Fe Pd Al
4 4 2
Direct
0.3738 0.8738 0.0000 Fe
0.8738 0.6262 0.0000 Fe
0.6262 0.1262 0.0000 Fe
0.1262 0.3738 0.0000 Fe
0.1694 0.6694 0.5000 Pd
0.8306 0.3306 0.5000 Pd
0.6694 0.8306 0.5000 Pd
0.3306 0.1694 0.5000 Pd
0.5000 0.5000 0.0000 Al
0.0000 0.0000 0.0000 Al
```

Space-group type: P4/mbm, No. 127
Energy of formation from the pure elements (eV/f.u.): 0.31
Calculated total energy (eV/atom): -6.1493

MnRe2C: optimized geometry, PBE.

POSCAR file:
```
MnRe2C
1.0
-3.8472 -0.9236 -2.7949
-0.2542 -4.4781 1.8297
-5.1665 -1.0010 3.2447
C Re Mn
2 4 2
Direct
0.2500 0.7500 0.5000 C
0.5000 0.5000 0.0000 C
0.8750 0.8186 0.7500 Re
0.1814 0.6250 0.2500 Re
0.3750 0.4314 0.7500 Re
0.5686 0.1250 0.2500 Re
0.0000 0.0000 0.0000 Mn
0.7500 0.2500 0.5000 Mn
```

Space-group type: I-42d, No. 122
Energy of formation from the pure elements (eV/f.u.): 3.80
Calculated total energy (eV/atom): -9.8717

LiTa2Tl: optimized geometry, PBE.

POSCAR file:
```
LiTa2Tl
1.0
5.1528 0.0000 0.0000
0.0000 2.9778 -0.0063
0.0000 0.7498 4.9056
Ta Tl Li
2 1 1
Direct
0.0000 0.5068 0.5088 Ta
0.0000 0.9932 0.9912 Ta
0.5000 0.2500 0.2500 Tl
0.5000 0.7500 0.7500 Li
```

Space-group type: P2/m, No. 10
Energy of formation from the pure elements (eV/f.u.): 1.60
Calculated total energy (eV/atom): -6.5960

K3Rb2: optimized geometry, PBE.

POSCAR file:
```
K3Rb2
1.0
-10.9253 -6.4169 3.1926
-0.2915 -13.0538 -0.4961
-2.0466 -6.7298 6.2087
Rb K
4 6
Direct
0.1244 0.1244 0.6268 Rb
0.6244 0.6244 0.1268 Rb
0.3756 0.3756 0.8732 Rb
0.8756 0.8756 0.3732 Rb
0.9230 0.2500 0.2500 K
0.2500 0.5770 0.2500 K
0.5770 0.9230 0.2500 K
0.0770 0.7500 0.7500 K
0.7500 0.4230 0.7500 K
0.4230 0.0770 0.7500 K
```

Relative energy among the computed polymorphs (meV/atom): 48
Space-group type: R-3c, No. 167
Energy of formation from the pure elements (eV/f.u.): 0.33
Calculated total energy (eV/atom): -0.9804

Cs2PaAu2S6: optimized geometry, PBE.

POSCAR file:
```
Cs2PaAu2S6
1.0
-2.0592 7.2364 0.1957
-1.7603 -4.2537 -5.9535
-4.3227 -1.4205 7.0419
Pa S Cs Au
1 6 2 2
Direct
0.5000 0.0000 0.5000 Pa
0.2709 0.0041 0.7366 S
0.7291 0.9959 0.2634 S
0.7329 0.4658 0.7354 S
0.2667 0.9959 0.2634 S
0.2671 0.5342 0.2646 S
0.7333 0.0041 0.7366 S
0.2729 0.5458 0.8182 Cs
0.7271 0.4542 0.1818 Cs
0.0902 0.1803 0.2714 Au
0.9098 0.8197 0.7286 Au
```

Formation energy from raw total energies (eV per atom): -0.77
Space-group type: C2/m, No. 12
Calculated total energy (eV/atom): -4.6335